An optimized crystal structure of K2LaW. Source: Alexandria via LeMat-Bulk, functional GGA-PBE.

Values from the calculation:
M_tot   0.000 μB per cell
E   -4.119 eV per atom
Energy of formation from the pure elements   0.90 eV per atom
SG   No. 12

a b c (Å): 10.964 10.964 4.694
angles (deg): 77.71 77.71 17.77
Atoms (fractional coordinates):
K  0.096  0.096  0.904
K  0.404  0.404  0.596
La  0.250  0.250  0.250
W  0.750  0.750  0.750